Record 1
Computed, not measured: a geometry-optimized YBOsRh2 structure at the GGA-PBE level of DFT.

Geometry as POSCAR:
```
YBOsRh2
1.0
-2.594 0.584 3.265
0.813 -3.907 1.344
3.228 1.464 2.303
Y B Os Rh
1 1 1 2
Cartesian
0.723 -0.929 3.456
0.000 0.000 0.000
1.614 0.732 1.152
-1.297 0.292 1.632
0.406 -1.953 0.672
```

Values from the calculation:
electronic total energy = -8.32 eV/atom
calculated density = 11.0 Mg/m³
Fermi-level density of states = 3.0 states/eV per cell
formation energy = -2.52 eV per formula unit
space group = P4/mmm, No. 123



Record 2
Computed, not measured: a geometry-optimized ZrBOsRh2 structure at the GGA-PBE level of DFT.

Geometry as POSCAR:
```
ZrBOsRh2
1.0
-0.089 -1.217 3.954
-1.887 -3.508 -1.122
3.712 -1.842 -0.484
B Zr Rh Os
1 1 2 1
Cartesian
0.000 0.000 0.000
0.868 -3.283 1.174
-0.044 -0.608 1.977
-0.944 -1.754 -0.561
1.856 -0.921 -0.242
```

Values from the calculation:
electronic total energy = -8.79 eV/atom
calculated density = 11.6 Mg/m³
Fermi-level density of states = 3.2 states/eV per cell
formation energy = -2.79 eV per formula unit
space group = P4/mmm, No. 123



Record 3
Computed, not measured: a geometry-optimized ZrBOs2Rh structure at the GGA-PBE level of DFT.

Geometry as POSCAR:
```
ZrBOs2Rh
1.0
4.169 0.000 0.000
0.000 4.169 0.000
0.000 0.000 4.113
Os Zr B Rh
2 1 1 1
Cartesian
0.000 2.085 0.000
2.085 0.000 0.000
2.085 2.085 2.056
0.000 0.000 0.000
0.000 0.000 2.056
```

Values from the calculation:
electronic total energy = -9.44 eV/atom
calculated density = 13.6 Mg/m³
Fermi-level density of states = 1.4 states/eV per cell
formation energy = -2.15 eV per formula unit
space group = P4/mmm, No. 123



Record 4
Computed, not measured: a geometry-optimized B2OsRu structure at the GGA-PBE level of DFT.

Geometry as POSCAR:
```
B2OsRu
1.0
0.001 2.532 -1.427
-1.139 0.165 -2.668
-5.475 2.163 0.904
Os B Ru
1 2 1
Cartesian
-6.219 3.951 -1.823
-1.690 1.226 -0.785
-4.179 1.842 0.326
-3.306 2.433 -1.602
```

Values from the calculation:
electronic total energy = -8.50 eV/atom
calculated density = 12.4 Mg/m³
Fermi-level density of states = 1.7 states/eV per cell
formation energy = -0.14 eV per formula unit
space group = Cm, No. 8



Record 5
Computed, not measured: a geometry-optimized BOsRu structure at the GGA-PBE level of DFT.

Geometry as POSCAR:
```
BOsRu
1.0
4.052 0.000 -0.003
0.000 2.776 0.000
-1.075 0.000 6.165
Os Ru B
2 2 2
Cartesian
0.781 1.388 5.922
1.815 1.388 2.361
-0.285 0.000 3.750
3.804 0.000 1.148
2.803 1.388 5.172
1.744 0.000 4.492
```

Values from the calculation:
electronic total energy = -9.09 eV/atom
calculated density = 14.5 Mg/m³
Fermi-level density of states = 2.7 states/eV per cell
formation energy = -0.08 eV per formula unit
space group = Pm, No. 6



Record 6
Computed, not measured: a geometry-optimized B2OsRu structure at the GGA-PBE level of DFT.

Geometry as POSCAR:
```
B2OsRu
1.0
-0.880 4.228 3.459
2.328 -2.879 4.111
3.346 1.794 3.084
Os B Ru
2 4 2
Cartesian
0.000 0.000 0.000
1.595 3.348 5.164
2.181 -0.821 3.775
3.776 2.527 8.935
0.578 2.729 3.445
3.054 1.850 5.154
0.724 0.674 3.785
3.199 -0.206 5.490
```

Values from the calculation:
electronic total energy = -8.08 eV/atom
calculated density = 11.6 Mg/m³
Fermi-level density of states = 5.3 states/eV per cell
formation energy = 1.55 eV per formula unit
space group = I-42d, No. 122



Record 7
Computed, not measured: a geometry-optimized B2OsRu structure at the GGA-PBE level of DFT.

Geometry as POSCAR:
```
B2OsRu
1.0
0.165 -0.672 3.778
-2.991 0.887 2.241
-2.134 -2.792 1.549
B Ru Os
2 1 1
Cartesian
-1.240 -0.644 1.892
-3.720 -1.933 5.676
0.000 0.000 0.000
-2.480 -1.288 3.784
```

Values from the calculation:
electronic total energy = -8.28 eV/atom
calculated density = 13.0 Mg/m³
Fermi-level density of states = 2.4 states/eV per cell
formation energy = 0.74 eV per formula unit
space group = Fm-3m, No. 225



Record 8
Computed, not measured: a geometry-optimized BOsRu3 structure at the GGA-PBE level of DFT.

Geometry as POSCAR:
```
BOsRu3
1.0
-0.632 -3.179 3.363
2.848 -2.943 -2.247
3.648 1.747 2.337
Os Ru B
1 3 1
Cartesian
0.000 0.000 0.000
1.424 -1.471 -1.123
1.824 0.873 1.168
-0.316 -1.590 1.682
2.932 -2.188 1.727
```

Values from the calculation:
electronic total energy = -6.59 eV/atom
calculated density = 8.2 Mg/m³
Fermi-level density of states = 9.6 states/eV per cell
formation energy = 12.78 eV per formula unit
space group = Pm-3m, No. 221



Record 9
Computed, not measured: a geometry-optimized BOsRu structure at the GGA-PBE level of DFT.

Geometry as POSCAR:
```
BOsRu
1.0
4.060 0.000 0.000
0.041 4.073 0.000
1.063 1.025 4.298
Os Ru B
2 2 2
Cartesian
0.515 1.552 1.241
4.650 3.546 3.057
2.621 3.606 1.201
2.544 1.492 3.098
2.570 3.607 3.844
2.595 1.491 0.454
```

Values from the calculation:
electronic total energy = -9.09 eV/atom
calculated density = 14.1 Mg/m³
Fermi-level density of states = 4.3 states/eV per cell
formation energy = -0.08 eV per formula unit
space group = P-1, No. 2



Record 10
Computed, not measured: a geometry-optimized BOsRu structure at the GGA-PBE level of DFT.

Geometry as POSCAR:
```
BOsRu
1.0
2.826 0.000 0.000
0.000 2.861 0.000
0.000 0.000 8.758
B Os Ru
2 2 2
Cartesian
1.413 1.431 7.210
1.413 0.000 2.831
0.000 1.431 1.959
0.000 0.000 6.338
1.413 1.431 4.423
1.413 0.000 0.044
```

Values from the calculation:
electronic total energy = -9.09 eV/atom
calculated density = 14.2 Mg/m³
Fermi-level density of states = 3.4 states/eV per cell
formation energy = -0.10 eV per formula unit
space group = Amm2, No. 38



Record 11
Computed, not measured: a geometry-optimized BOsRu structure at the GGA-PBE level of DFT.

Geometry as POSCAR:
```
BOsRu
1.0
-3.977 2.161 -0.139
-0.925 -1.560 2.208
3.521 2.887 3.515
Ru B Os
2 2 2
Cartesian
-1.453 4.191 2.352
-3.169 2.774 0.632
-1.076 -0.420 1.101
0.462 2.458 1.930
-1.394 1.396 2.251
0.401 2.886 4.056
```

Values from the calculation:
electronic total energy = -9.14 eV/atom
calculated density = 14.2 Mg/m³
Fermi-level density of states = 3.4 states/eV per cell
formation energy = -0.23 eV per formula unit
space group = Pm, No. 6



Record 12
Computed, not measured: a geometry-optimized BOsRu structure at the GGA-PBE level of DFT.

Geometry as POSCAR:
```
BOsRu
1.0
-1.448 2.462 0.101
-3.435 -2.131 2.698
1.432 0.633 5.081
Os Ru B
2 2 2
Cartesian
-0.515 0.446 1.965
-2.936 0.518 5.914
-2.884 0.659 3.224
-0.566 0.305 4.656
-1.449 1.619 0.417
-2.002 -0.655 7.463
```

Values from the calculation:
electronic total energy = -9.04 eV/atom
calculated density = 14.2 Mg/m³
Fermi-level density of states = 4.0 states/eV per cell
formation energy = 0.06 eV per formula unit
space group = P2_1/m, No. 11